[1]
First-principles (PBE-GGA) data for a geometry-optimized Y6Ga5Ag structure, as listed in the Alexandria database.

DFT total energy	-5.29	eV per atom

POSCAR file:
```
Y6Ga5Ag
1.0
2.5454 -7.6522 0.0000
2.5454 7.6522 0.0000
0.0000 0.0000 7.1666
Y Ga Ag
6 5 1
Direct
0.0000 0.0000 0.2467
0.0000 0.0000 0.7533
0.3318 0.6682 0.2493
0.3318 0.6682 0.7507
0.6682 0.3318 0.2493
0.6682 0.3318 0.7507
0.1610 0.8390 0.5000
0.1658 0.8342 0.0000
0.5000 0.5000 0.0000
0.8342 0.1658 0.0000
0.8390 0.1610 0.5000
0.5000 0.5000 0.5000
```

***

[2]
First-principles (PBE-GGA) data for a geometry-optimized La2ScRu structure, as listed in the Alexandria database.

DFT total energy	-6.36	eV per atom
relative energy among the computed polymorphs	0.1451	eV/atom

POSCAR file:
```
La2ScRu
1.0
3.5874 0.0000 0.0000
0.0000 3.5874 0.0000
0.0000 0.0000 8.2982
La Sc Ru
2 1 1
Direct
0.0000 0.0000 0.2098
0.0000 0.0000 0.7902
0.5000 0.5000 0.5000
0.5000 0.5000 0.0000
```